Entry 1:
A plane-wave DFT calculation with PBE was carried out for a geometry-optimized La3NdAu7 structure.

The space group is Cmcm (No. 63) and the conventional cell measures 3.927, 22.567 and 13.014 Å, with angles of 90.00, 90.00 and 90.00 degrees. The inequivalent atoms are La at (0.000, 0.140, 0.059), La at (0.000, 0.193, 0.750), Nd at (0.000, 0.007, 0.750), Au at (0.000, 0.278, 0.066), Au at (0.000, 0.382, 0.750), Au at (0.000, 0.401, 0.135) and Au at (0.000, 0.466, 0.582).

Its magnetization is 0.0 Bohr magnetons per cell. Its crystal system is orthorhombic. As for the formation energy: -0.73 eV/atom.

***

Entry 2:
A plane-wave DFT calculation with PBE was carried out for a geometry-optimized Co2Cu2Te structure.

The space group is P4/mbm (No. 127) and the conventional cell measures 6.240, 6.240 and 3.713 Å, with angles of 90.00, 90.00 and 90.00 degrees. The inequivalent atoms are Co at (0.133, 0.367, 0.000), Cu at (0.152, 0.652, 0.500) and Te at (0.000, 0.000, 0.000).

Its magnetization is 4.6 Bohr magnetons per cell. Its crystal system is tetragonal. The value obtained for the raw formation energy is 328 meV per atom.

***

Entry 3:
A plane-wave DFT calculation with PBE was carried out for a geometry-optimized Tl2CuIr structure.

The space group is Pm (No. 6) and the conventional cell measures 3.816, 4.100 and 5.435 Å, with angles of 90.00, 110.46 and 90.00 degrees. The inequivalent atoms are Tl at (0.000, 0.000, 0.000), Tl at (0.292, 0.500, 0.587), Cu at (0.571, 0.500, 0.144) and Ir at (0.719, 0.000, 0.440).

Its magnetization is 0.0 Bohr magnetons per cell. Its crystal system is monoclinic. As for the formation energy: 0.34 eV/atom.

***

Entry 4:
A plane-wave DFT calculation with PBE was carried out for a geometry-optimized CuRe4Se7 structure.

The space group is Pc (No. 7) and the conventional cell measures 4.985, 6.885 and 18.400 Å, with angles of 90.00, 105.68 and 90.00 degrees. The inequivalent atoms are Cu at (0.000, 0.142, 0.000), Re at (0.052, 0.325, 0.371), Re at (0.251, 0.428, 0.239), Re at (0.310, 0.325, 0.629), Re at (0.772, 0.428, 0.760), Se at (0.112, 0.187, 0.500), Se at (0.205, 0.335, 0.107), Se at (0.372, 0.214, 0.759), Se at (0.507, 0.238, 0.355), Se at (0.797, 0.238, 0.645), Se at (0.854, 0.214, 0.241) and Se at (0.988, 0.335, 0.892).

Its magnetization is 0.7 Bohr magnetons per cell. Its crystal system is monoclinic. The value obtained for the raw formation energy is 109 meV per atom.

***

Entry 5:
A plane-wave DFT calculation with PBE was carried out for a geometry-optimized Pm2NdZr structure.

The space group is P4/mmm (No. 123) and the conventional cell measures 4.977, 4.977 and 4.988 Å, with angles of 90.00, 90.00 and 90.00 degrees. The inequivalent atoms are Pm at (0.000, 0.500, 0.000), Nd at (0.000, 0.000, 0.500) and Zr at (0.500, 0.500, 0.500).

Its magnetization is 0.0 Bohr magnetons per cell. Its crystal system is tetragonal. As for the formation energy: 0.13 eV/atom.

***

Entry 6:
A plane-wave DFT calculation with PBE was carried out for a geometry-optimized HoThAu3 structure.

The space group is Cmcm (No. 63) and the conventional cell measures 3.533, 28.255 and 4.692 Å, with angles of 90.00, 90.00 and 90.00 degrees. The inequivalent atoms are Ho at (0.000, 0.208, 0.250), Th at (0.000, 0.074, 0.750), Au at (0.000, 0.316, 0.250), Au at (0.000, 0.377, 0.750) and Au at (0.000, 0.475, 0.750).

Its magnetization is 0.0 Bohr magnetons per cell. Its crystal system is orthorhombic. As for the formation energy: -0.77 eV/atom.